# NaIn2Sb

A relaxed NaIn2Sb crystal (GGA-PBE, Alexandria).

Properties
E = -0.2046 Ry/atom
ΔE_f (raw) = -0.055 eV/atom

a = 7.9853 Å, b = 7.9853 Å, c = 7.9853 Å
α = 32.67°, β = 32.67°, γ = 32.67°
Sites, in units of the cell vectors:
Na  0.0000  0.0000  0.0000
In  0.5682  0.5682  0.5682
In  0.7609  0.7609  0.7609
Sb  0.1642  0.1642  0.1642

# NaInSb2

A relaxed NaInSb2 crystal (GGA-PBE, Alexandria).

Properties
E = -0.2297 Ry/atom
ΔE_f (raw) = -0.049 eV/atom

a = 9.0798 Å, b = 9.0798 Å, c = 9.0798 Å
α = 24.95°, β = 24.95°, γ = 24.95°
Sites, in units of the cell vectors:
Na  0.0000  0.0000  0.0000
In  0.5000  0.5000  0.5000
Sb  0.2415  0.2415  0.2415
Sb  0.7585  0.7585  0.7585

# Na3InSb

A relaxed Na3InSb crystal (GGA-PBE, Alexandria).

Properties
E = -0.1349 Ry/atom
ΔE_f (raw) = 0.328 eV/atom

a = 5.6671 Å, b = 5.6671 Å, c = 5.6671 Å
α = 90.00°, β = 90.00°, γ = 90.00°
Sites, in units of the cell vectors:
Na  0.0000  0.0000  0.5000
Na  0.0000  0.5000  0.0000
Na  0.5000  0.0000  0.0000
In  0.0000  0.0000  0.0000
Sb  0.5000  0.5000  0.5000

# NaInSb2

A relaxed NaInSb2 crystal (GGA-PBE, Alexandria).

Properties
E = -0.2320 Ry/atom
ΔE_f (raw) = -0.081 eV/atom

a = 4.2054 Å, b = 4.2054 Å, c = 6.4130 Å
α = 90.00°, β = 90.00°, γ = 90.00°
Sites, in units of the cell vectors:
Na  0.0000  0.0000  0.0000
In  0.0000  0.0000  0.5000
Sb  0.5000  0.5000  0.2746
Sb  0.5000  0.5000  0.7254

# Na3In5Sb2

A relaxed Na3In5Sb2 crystal (GGA-PBE, Alexandria).

Properties
E = -0.2007 Ry/atom
ΔE_f (raw) = -0.141 eV/atom

a = 10.1036 Å, b = 10.1036 Å, c = 10.1036 Å
α = 101.86°, β = 91.98°, γ = 139.46°
Sites, in units of the cell vectors:
Na  0.1292  0.7451  0.8743
Na  0.2500  0.2500  0.0000
Na  0.3708  0.2451  0.6159
Na  0.6292  0.7549  0.3841
Na  0.7500  0.7500  0.0000
Na  0.8708  0.2549  0.1257
In  0.0014  0.2500  0.7514
In  0.1260  0.3689  0.4949
In  0.2500  0.7500  0.5000
In  0.3740  0.8689  0.2430
In  0.4986  0.2500  0.2486
In  0.5014  0.7500  0.7514
In  0.6260  0.1311  0.7570
In  0.7500  0.2500  0.5000
In  0.8740  0.6311  0.5051
In  0.9986  0.7500  0.2486
Sb  0.1303  0.1455  0.2758
Sb  0.3697  0.6455  0.0152
Sb  0.6303  0.3545  0.9848
Sb  0.8697  0.8545  0.7242

# NaIn2Sb2

A relaxed NaIn2Sb2 crystal (GGA-PBE, Alexandria).

Properties
E = -0.2264 Ry/atom
ΔE_f (raw) = -0.073 eV/atom

a = 8.4376 Å, b = 8.4376 Å, c = 4.0601 Å
α = 90.00°, β = 90.00°, γ = 90.00°
Sites, in units of the cell vectors:
Na  0.0000  0.0000  0.0000
Na  0.5000  0.5000  0.0000
In  0.1482  0.3518  0.5000
In  0.3518  0.8518  0.5000
In  0.6482  0.1482  0.5000
In  0.8518  0.6482  0.5000
Sb  0.1455  0.6455  0.0000
Sb  0.3545  0.1455  0.0000
Sb  0.6455  0.8545  0.0000
Sb  0.8545  0.3545  0.0000

# NaIn3Sb

A relaxed NaIn3Sb crystal (GGA-PBE, Alexandria).

Properties
E = -0.1772 Ry/atom
ΔE_f (raw) = 0.320 eV/atom

a = 5.7943 Å, b = 5.7943 Å, c = 5.7943 Å
α = 90.00°, β = 90.00°, γ = 90.00°
Sites, in units of the cell vectors:
Na  0.0000  0.0000  0.0000
In  0.0000  0.5000  0.5000
In  0.5000  0.0000  0.5000
In  0.5000  0.5000  0.0000
Sb  0.5000  0.5000  0.5000

# Na2InSb

A relaxed Na2InSb crystal (GGA-PBE, Alexandria).

Properties
E = -0.1785 Ry/atom
ΔE_f (raw) = -0.054 eV/atom

a = 11.4092 Å, b = 11.4092 Å, c = 11.4092 Å
α = 156.60°, β = 156.60°, γ = 33.34°
Sites, in units of the cell vectors:
Na  0.1160  0.6250  0.9910
Na  0.3750  0.3660  0.4910
Na  0.6340  0.1250  0.0090
Na  0.8750  0.8840  0.5090
In  0.2500  0.7500  0.5000
In  0.5000  0.5000  0.0000
Sb  0.0000  0.0000  0.0000
Sb  0.7500  0.2500  0.5000

# Na2InSb

A relaxed Na2InSb crystal (GGA-PBE, Alexandria).

Properties
E = -0.1887 Ry/atom
ΔE_f (raw) = -0.193 eV/atom

a = 3.3232 Å, b = 3.3232 Å, c = 9.7758 Å
α = 90.00°, β = 90.00°, γ = 90.00°
Sites, in units of the cell vectors:
Na  0.0000  0.0000  0.2377
Na  0.0000  0.0000  0.7623
In  0.5000  0.5000  0.5000
Sb  0.5000  0.5000  0.0000

# NaInSb2

A relaxed NaInSb2 crystal (GGA-PBE, Alexandria).

Properties
E = -0.2293 Ry/atom
ΔE_f (raw) = -0.044 eV/atom

a = 9.0997 Å, b = 9.0997 Å, c = 9.0997 Å
α = 24.89°, β = 24.89°, γ = 24.89°
Sites, in units of the cell vectors:
Na  0.0000  0.0000  0.0000
In  0.8334  0.8334  0.8334
Sb  0.2414  0.2414  0.2414
Sb  0.4253  0.4253  0.4253

# NaIn3Sb

A relaxed NaIn3Sb crystal (GGA-PBE, Alexandria).

Properties
E = -0.1638 Ry/atom
ΔE_f (raw) = 0.503 eV/atom

a = 5.4815 Å, b = 5.4815 Å, c = 5.4815 Å
α = 90.00°, β = 90.00°, γ = 90.00°
Sites, in units of the cell vectors:
Na  0.0000  0.0000  0.0000
In  0.0000  0.0000  0.5000
In  0.0000  0.5000  0.0000
In  0.5000  0.0000  0.0000
Sb  0.5000  0.5000  0.5000

# NaIn2Sb

A relaxed NaIn2Sb crystal (GGA-PBE, Alexandria).

Properties
E = -0.2069 Ry/atom
ΔE_f (raw) = -0.086 eV/atom

a = 4.0551 Å, b = 4.0551 Å, c = 6.8708 Å
α = 90.00°, β = 90.00°, γ = 90.00°
Sites, in units of the cell vectors:
Na  0.0000  0.0000  0.0000
In  0.5000  0.5000  0.2734
In  0.5000  0.5000  0.7266
Sb  0.0000  0.0000  0.5000